La2Pm4Tm: relaxed, PBE.

Properties
As for the distance to the lowest polymorph of the same formula: 0.0557 eV/atom. The symmetry is I-42d (122). The calculation puts the spin magnetization at 0.000 μB/atom. The value obtained for the density of states at the Fermi level is 11.91 states/eV/f.u.

a = 8.6132 Å, b = 8.6132 Å, c = 8.6132 Å
α = 109.37°, β = 109.68°, γ = 109.37°
Last column: nearest neighbours and their distance in Å.
Atoms (fractional coordinates):
Pm 0.7779 0.2464 0.8706  4 La 3.36-3.60, 2 Tm 3.41-3.50, 1 Pm 3.71
Pm 0.9721 0.5927 0.7185  4 La 3.36-3.60, 2 Tm 3.41-3.50, 1 Pm 3.71
Pm 0.6242 0.7536 0.5315  4 La 3.36-3.60, 2 Tm 3.41-3.50, 1 Pm 3.71
Pm 0.1258 0.4073 0.3794  4 La 3.36-3.60, 2 Tm 3.41-3.50, 1 Pm 3.71
Pm 0.4685 0.0927 0.2221  4 La 3.36-3.60, 2 Tm 3.41-3.50, 1 Pm 3.71
Pm 0.6206 0.7464 0.0279  4 La 3.36-3.60, 2 Tm 3.41-3.50, 1 Pm 3.71
Pm 0.2815 0.2536 0.8742  4 La 3.36-3.60, 2 Tm 3.41-3.50, 1 Pm 3.71
Pm 0.1294 0.9073 0.3758  4 La 3.36-3.60, 2 Tm 3.41-3.50, 1 Pm 3.71
Tm 0.7500 0.5000 0.2500  8 Pm 3.41-3.50
Tm 0.0000 0.0000 0.0000  8 Pm 3.41-3.50
La 0.3750 0.8882 0.7632  8 Pm 3.36-3.60
La 0.5132 0.3882 0.6250  8 Pm 3.36-3.60
La 0.8750 0.1118 0.4868  8 Pm 3.36-3.60
La 0.2368 0.6118 0.1250  8 Pm 3.36-3.60